Run i
Entry from the Open Quantum Materials Database: crystalline MgB4Ir at its relaxed geometry (GGA-PBE).

a = 4.555 Å, b = 4.555 Å, c = 4.555 Å
α = 141.00°, β = 110.53°, γ = 82.65°
Sites, in units of the cell vectors:
B (0.407, 0.742, 0.666)
B (0.076, 0.742, 0.334)
B (0.924, 0.258, 0.666)
B (0.593, 0.258, 0.334)
Mg (0.000, 0.000, 0.000)
Ir (0.500, 0.500, 0.000)

Space group: Immm
Total magnetization, Bohr magnetons per cell: 0.0


Run ii
Entry from the Open Quantum Materials Database: crystalline MgB4Ir at its relaxed geometry (GGA-PBE).

a = 5.879 Å, b = 11.290 Å, c = 3.458 Å
α = 90.00°, β = 90.00°, γ = 90.00°
Sites, in units of the cell vectors:
B (0.134, 0.973, 0.500)
B (0.886, 0.450, 0.500)
B (0.634, 0.527, 0.500)
B (0.386, 0.050, 0.500)
B (0.481, 0.195, 0.500)
B (0.614, 0.950, 0.500)
B (0.366, 0.473, 0.500)
B (0.519, 0.805, 0.500)
B (0.198, 0.813, 0.500)
B (0.019, 0.695, 0.500)
B (0.866, 0.027, 0.500)
B (0.981, 0.305, 0.500)
B (0.698, 0.687, 0.500)
B (0.114, 0.550, 0.500)
B (0.802, 0.187, 0.500)
B (0.302, 0.313, 0.500)
Ir (0.151, 0.403, 0.000)
Ir (0.349, 0.903, 0.000)
Ir (0.849, 0.597, 0.000)
Ir (0.651, 0.097, 0.000)
Mg (0.372, 0.650, 0.000)
Mg (0.128, 0.150, 0.000)
Mg (0.628, 0.350, 0.000)
Mg (0.872, 0.850, 0.000)

Space group: Pbam
Total magnetization, Bohr magnetons per cell: 0.0


Run iii
Entry from the Open Quantum Materials Database: crystalline MgB4Ir at its relaxed geometry (GGA-PBE).

a = 3.072 Å, b = 3.072 Å, c = 6.788 Å
α = 90.00°, β = 90.00°, γ = 120.00°
Sites, in units of the cell vectors:
B (0.667, 0.333, 0.242)
B (0.667, 0.333, 0.758)
B (0.333, 0.667, 0.242)
B (0.333, 0.667, 0.758)
Ir (0.000, 0.000, 0.000)
Mg (0.000, 0.000, 0.500)

Space group: P6/mmm
Total magnetization, Bohr magnetons per cell: 0.0


The structure with the greatest stability is run ii.


Run i
Entry from the Open Quantum Materials Database: crystalline MgSiBIr at its relaxed geometry (GGA-PBE).

a = 4.135 Å, b = 4.135 Å, c = 4.135 Å
α = 60.00°, β = 60.00°, γ = 60.00°
Sites, in units of the cell vectors:
Mg (0.750, 0.750, 0.750)
B (0.000, 0.000, 0.000)
Si (0.500, 0.500, 0.500)
Ir (0.250, 0.250, 0.250)

Space group: F-43m
Total magnetization, Bohr magnetons per cell: 0.0


Run ii
Entry from the Open Quantum Materials Database: crystalline MgSiBIr at its relaxed geometry (GGA-PBE).

a = 4.199 Å, b = 4.199 Å, c = 4.199 Å
α = 60.00°, β = 60.00°, γ = 60.00°
Sites, in units of the cell vectors:
Si (0.250, 0.250, 0.250)
Mg (0.750, 0.750, 0.750)
Ir (0.000, 0.000, 0.000)
B (0.500, 0.500, 0.500)

Space group: F-43m
Total magnetization, Bohr magnetons per cell: 0.0


The structure with the greatest stability is run i.